The following is a DFT calculation (PBE) of a relaxed PmTm5Sc crystal.

Properties
Calculated total energy   -4.7133 eV per atom
Space group   P2_1/m (11)
Excess energy over the best structure of this formula in the dataset   0 meV/atom
Energy of formation from the pure elements   1.471 kcal/mol of atoms

a b c (Å): 9.083 3.531 13.527
angles (deg): 90.00 102.36 90.00
Fractional positions:
1 Pm 0.112 0.250 0.136
2 Pm 0.888 0.750 0.864
3 Tm 0.004 0.750 0.371
4 Tm 0.205 0.250 0.884
5 Tm 0.327 0.250 0.507
6 Tm 0.350 0.750 0.722
7 Tm 0.419 0.750 0.083
8 Tm 0.581 0.250 0.917
9 Tm 0.650 0.250 0.278
10 Tm 0.673 0.750 0.493
11 Tm 0.795 0.750 0.116
12 Tm 0.996 0.250 0.629
13 Sc 0.352 0.750 0.309
14 Sc 0.648 0.250 0.691

The following is a DFT calculation (PBE) of a relaxed Tb2YI6 crystal.

Properties
ΔE_f (raw)   -1.225 eV per atom
Calculated total energy   -4.0059 eV per atom
Space group   C2/m (12)

a b c (Å): 8.904 8.904 11.482
angles (deg): 116.00 116.00 26.87
Fractional positions:
1 Tb 0.176 0.176 0.349
2 Tb 0.824 0.824 0.651
3 Y 0.500 0.500 0.000
4 I 0.144 0.144 0.055
5 I 0.184 0.184 0.621
6 I 0.473 0.473 0.717
7 I 0.527 0.527 0.283
8 I 0.816 0.816 0.379
9 I 0.856 0.856 0.945

The following is a DFT calculation (PBE) of a relaxed Y3CuP crystal.

Properties
Calculated total energy   -6.0322 eV per atom
Space group   Pm-3m (221)
Excess energy over the best structure of this formula in the dataset   0 meV/atom
Energy of formation from the pure elements   -5.824 kcal/mol of atoms

a b c (Å): 5.243 5.243 5.243
angles (deg): 90.00 90.00 90.00
Fractional positions:
1 Y 0.000 0.000 0.500
2 Y 0.000 0.500 0.000
3 Y 0.500 0.000 0.000
4 Cu 0.500 0.500 0.500
5 P 0.000 0.000 0.000

The following is a DFT calculation (PBE) of a relaxed LaPtIO2 crystal.

Properties
ΔE_f (raw)   -0.869 eV per atom
Calculated total energy   -5.3558 eV per atom
Space group   P4/mmm (123)
Excess energy over the best structure of this formula in the dataset   0 meV/atom

a b c (Å): 4.193 4.193 7.569
angles (deg): 90.00 90.00 90.00
Fractional positions:
1 La 0.000 0.000 0.000
2 Pt 0.500 0.500 0.500
3 I 0.000 0.000 0.500
4 O 0.000 0.500 0.000
5 O 0.500 0.000 0.000

Q: The highest calculated total energy belongs to which entry?
A: Tb2YI6

Q: Number 3 is which compound?
A: Y3CuP

Q: Which of these has the highest calculated total energy?
A: Tb2YI6

Q: Which of these has the lowest calculated total energy?
A: Y3CuP